Version a
Computed, not measured: an optimized crystal structure of SiGeF3 at the PBE level of DFT.

- ρ: 3.38 g/cm3
- Total magnetization: 1.0 μB/cell

```
5
Lattice="4.2650 0.0000 0.0000 0.0000 4.2650 0.0000 0.0000 0.0000 4.2650" Properties=species:S:1:pos:R:3 pbc="T T T"
Si 0.0000 0.0000 0.0000
Ge 2.1325 2.1325 2.1325
F 0.0000 0.0000 2.1325
F 0.0000 2.1325 0.0000
F 2.1325 0.0000 0.0000
```

***

Version b
Computed, not measured: an optimized crystal structure of SiGeF3 at the PBE level of DFT.

- ρ: 3.11 g/cm3
- Total magnetization: 1.0 μB/cell

```
5
Lattice="4.3819 0.0000 0.0000 0.0000 4.3819 0.0000 0.0000 0.0000 4.3819" Properties=species:S:1:pos:R:3 pbc="T T T"
Si 0.0000 0.0000 0.0000
Ge 2.1909 2.1909 2.1909
F 0.0000 2.1909 2.1909
F 2.1909 0.0000 2.1909
F 2.1909 2.1909 0.0000
```

***

Energy ordering: version a at the bottom, the next structure 107 meV per atom above.

***

Version a
Computed, not measured: an optimized crystal structure of SiGe3F at the PBE level of DFT.

- ρ: 3.98 g/cm3
- Total magnetization: 0.0 μB/cell

```
5
Lattice="4.7981 0.0000 0.0000 0.0000 4.7981 0.0000 0.0000 0.0000 4.7981" Properties=species:S:1:pos:R:3 pbc="T T T"
Si 0.0000 0.0000 0.0000
Ge 0.0000 0.0000 2.3990
Ge 0.0000 2.3990 0.0000
Ge 2.3990 0.0000 0.0000
F 2.3990 2.3990 2.3990
```

***

Version b
Computed, not measured: an optimized crystal structure of SiGe3F at the PBE level of DFT.

- ρ: 4.59 g/cm3
- Total magnetization: 0.0 μB/cell

```
5
Lattice="4.5762 0.0000 0.0000 0.0000 4.5762 0.0000 0.0000 0.0000 4.5762" Properties=species:S:1:pos:R:3 pbc="T T T"
Si 0.0000 0.0000 0.0000
Ge 0.0000 2.2881 2.2881
Ge 2.2881 0.0000 2.2881
Ge 2.2881 2.2881 0.0000
F 2.2881 2.2881 2.2881
```

***

Energy ordering: version b at the bottom, the next structure 116 meV per atom above.